*w*
The following is a DFT calculation (PBE with a Hubbard U) of a geometry-optimized Hf3WO structure.

Structure (POSCAR):
```
Hf3WO
1.0
-2.5593 2.6245 3.5356
-2.2395 -4.2969 1.5685
3.7912 -0.7665 3.3133
Hf O W
3 1 1
Cartesian
-1.1198 -2.1484 0.7842 Hf
1.8956 -0.3832 1.6567 Hf
-1.2797 1.3122 1.7678 Hf
-0.5038 -1.2194 4.2087 O
0.0000 0.0000 0.0000 W
```

- total moment (Bohr magnetons per cell) = 1.6

---

*x*
The following is a DFT calculation (PBE with a Hubbard U) of a geometry-optimized Hf3WO structure.

Structure (POSCAR):
```
Hf3WO
1.0
-2.0041 -3.5959 -1.6228
2.0832 -2.5103 2.9898
-3.3502 0.5901 2.8298
Hf O W
3 1 1
Cartesian
1.0416 -1.2551 1.4949 Hf
-1.6751 0.2951 1.4149 Hf
-1.0020 -1.7979 -0.8114 Hf
0.0000 0.0000 0.0000 O
-1.6356 -2.7580 2.0984 W
```

- total moment (Bohr magnetons per cell) = 0.0

---

Which is the most stable structure? *x* is the most stable.